CaPmAlS4 | PBE | relaxed Values from VASP.

Structure (Quantum ESPRESSO input):
```
&SYSTEM
  ibrav = 0, nat = 14, ntyp = 4
/
ATOMIC_SPECIES
Ca 40.08 Ca.upf
Pm 145.00 Pm.upf
Al 26.98 Al.upf
S 32.06 S.upf
ATOMIC_POSITIONS crystal
Ca 0.5000 0.0000 0.0000
Ca 0.5000 0.5000 0.5000
Pm 0.0000 0.0000 0.0000
Pm 0.5000 0.0000 0.5000
Al 0.1184 0.3684 0.7500
Al 0.8816 0.6316 0.2500
S 0.2373 0.7467 0.4905
S 0.2438 0.2533 0.9905
S 0.2451 0.2536 0.5085
S 0.2451 0.7366 0.9915
S 0.7549 0.2634 0.0085
S 0.7549 0.7464 0.4915
S 0.7562 0.7467 0.0095
S 0.7627 0.2533 0.5095
CELL_PARAMETERS angstrom
-3.8687 3.9680 5.5400
3.8687 -3.9680 5.5400
3.8687 3.9680 -5.5400
```

Calculated values
Total magnetization (μB/f.u.): 0.00
Uncorrected formation energy (kcal/mol of atoms): -37.74

CaHo5Mg4 | PBE | relaxed Values from VASP.

Structure (Quantum ESPRESSO input):
```
&SYSTEM
  ibrav = 0, nat = 10, ntyp = 3
/
ATOMIC_SPECIES
Ca 40.08 Ca.upf
Ho 164.93 Ho.upf
Mg 24.30 Mg.upf
ATOMIC_POSITIONS crystal
Ca 0.0000 0.0000 0.0000
Ho 0.5000 0.5000 0.1311
Ho 0.5000 0.5000 0.3130
Ho 0.5000 0.5000 0.5000
Ho 0.5000 0.5000 0.6870
Ho 0.5000 0.5000 0.8689
Mg 0.0000 0.0000 0.2219
Mg 0.0000 0.0000 0.4064
Mg 0.0000 0.0000 0.5936
Mg 0.0000 0.0000 0.7781
CELL_PARAMETERS angstrom
3.7784 0.0000 0.0000
0.0000 3.7784 0.0000
0.0000 0.0000 20.1417
```

Calculated values
Total magnetization (μB/f.u.): 0.00
ΔE_f (eV per atom): -0.025
Density of states at the Fermi level (states/eV/atom): 1.459

Ba2MnBe | PBE | relaxed Values from VASP.

Structure (Quantum ESPRESSO input):
```
&SYSTEM
  ibrav = 0, nat = 4, ntyp = 3
/
ATOMIC_SPECIES
Ba 137.33 Ba.upf
Mn 54.94 Mn.upf
Be 9.01 Be.upf
ATOMIC_POSITIONS crystal
Ba 0.0000 0.0000 0.0000
Ba 0.1743 0.1743 0.5192
Mn 0.7538 0.7538 0.2596
Be 0.4205 0.4205 0.2591
CELL_PARAMETERS angstrom
3.7239 -2.1498 0.0000
3.7239 2.1498 0.0000
-2.4938 0.0000 8.7424
```

Calculated values
Total magnetization (μB/f.u.): 2.79
ΔE_f (eV per atom): 0.384
Density of states at the Fermi level (states/eV/atom): 1.250

CaMgPbBr6 | PBE | relaxed Values from VASP.

Structure (Quantum ESPRESSO input):
```
&SYSTEM
  ibrav = 0, nat = 18, ntyp = 4
/
ATOMIC_SPECIES
Ca 40.08 Ca.upf
Mg 24.30 Mg.upf
Pb 207.20 Pb.upf
Br 79.90 Br.upf
ATOMIC_POSITIONS crystal
Ca 0.3333 0.6667 0.2500
Ca 0.6667 0.3333 0.7500
Mg 0.3333 0.6667 0.7500
Mg 0.6667 0.3333 0.2500
Pb 0.0000 0.0000 0.0000
Pb 0.0000 0.0000 0.5000
Br 0.0211 0.3657 0.6303
Br 0.0211 0.6553 0.8697
Br 0.3447 0.3657 0.8697
Br 0.3447 0.9789 0.6303
Br 0.3657 0.0211 0.1303
Br 0.3657 0.3447 0.3697
Br 0.6343 0.6553 0.6303
Br 0.6343 0.9789 0.8697
Br 0.6553 0.0211 0.3697
Br 0.6553 0.6343 0.1303
Br 0.9789 0.3447 0.1303
Br 0.9789 0.6343 0.3697
CELL_PARAMETERS angstrom
7.2157 0.0000 0.0000
-3.6078 6.2490 0.0000
0.0000 0.0000 13.0685
```

Calculated values
Total magnetization (μB/f.u.): 0.00
Uncorrected formation energy (kcal/mol of atoms): -33.39
Density of states at the Fermi level (states/eV/atom): 0.000